This record from Alexandria describes BaIn2Si after structural relaxation. The functional is PBE-GGA.

The structure in CIF format:
```
data_BaIn2Si
_chemical_formula_sum 'Ba1 In2 Si1'
_cell_length_a 3.809
_cell_length_b 4.000
_cell_length_c 7.504
_cell_angle_alpha 90.00
_cell_angle_beta 90.00
_cell_angle_gamma 90.00
_symmetry_space_group_name_H-M 'P m m 2'
_symmetry_Int_Tables_number 25
loop_
_symmetry_equiv_pos_as_xyz
'x,y,z'
'-x,-y,z'
'-x,y,z'
'x,-y,z'
loop_
_atom_site_label
_atom_site_type_symbol
_atom_site_fract_x
_atom_site_fract_y
_atom_site_fract_z
_atom_site_occupancy
Ba1 Ba 0.000 0.000 0.000 1
In1 In 0.000 0.000 0.541 1
In2 In 0.500 0.500 0.325 1
Si1 Si 0.500 0.500 0.696 1
```

N(E_F), states/eV/f.u.: 1.83
Crystal system: orthorhombic
Energy relative to the elements, uncorrected, eV/atom: -0.108

***

This record from Alexandria describes BaIn2Si after structural relaxation. The functional is PBE-GGA.

The structure in CIF format:
```
data_BaIn2Si
_chemical_formula_sum 'Ba2 In4 Si2'
_cell_length_a 8.063
_cell_length_b 4.663
_cell_length_c 7.089
_cell_angle_alpha 90.00
_cell_angle_beta 112.43
_cell_angle_gamma 90.00
_symmetry_space_group_name_H-M 'C 1 2/m 1'
_symmetry_Int_Tables_number 12
loop_
_symmetry_equiv_pos_as_xyz
'x,y,z'
'-x,-y,-z'
'-x,y,-z'
'x,-y,z'
'x+1/2,y+1/2,z'
'-x+1/2,-y+1/2,-z'
'-x+1/2,y+1/2,-z'
'x+1/2,-y+1/2,z'
loop_
_atom_site_label
_atom_site_type_symbol
_atom_site_fract_x
_atom_site_fract_y
_atom_site_fract_z
_atom_site_occupancy
Ba1 Ba 0.000 0.000 0.000 1
In1 In 0.219 0.000 0.657 1
Si1 Si 0.000 0.500 0.500 1
```

N(E_F), states/eV/f.u.: 0.77
Crystal system: monoclinic
Energy relative to the elements, uncorrected, eV/atom: -0.154

***

Taking the records one at a time from the top gives total magnetization values of 0.00; 0.00 μB per cell.